1.
TcB3Cl, optimized geometry, DFT PBE-GGA; energy relative to the elements, uncorrected = 1398.9 meV/atom; energy = -5.0501 eV per atom; size of the total moment = 0.00 μB/cell
1.0
4.1999 0.0000 0.0000
0.0000 4.1999 0.0000
0.0000 0.0000 4.1999
B Tc Cl
3 1 1
direct
0.0000 0.5000 0.0000
0.0000 0.0000 0.5000
0.5000 0.0000 0.0000
0.0000 0.0000 0.0000
0.5000 0.5000 0.5000

2.
TcB2Cl, optimized geometry, DFT PBE-GGA; energy relative to the elements, uncorrected = 1894.5 meV/atom; energy = -4.4973 eV per atom; size of the total moment = 0.00 μB/cell
1.0
3.2915 0.5939 2.1450
-0.0864 -0.4742 3.9440
1.8654 -3.0844 1.6715
B Tc Cl
2 1 1
direct
0.2500 0.2500 0.2500
0.7500 0.7500 0.7500
0.5000 0.5000 0.5000
0.0000 0.0000 0.0000

3.
TcB3Cl, optimized geometry, DFT PBE-GGA; energy relative to the elements, uncorrected = 2324.3 meV/atom; energy = -4.1247 eV per atom; size of the total moment = 1.51 μB/cell
1.0
-0.8179 3.1651 1.9503
-3.2037 -1.6132 1.2744
1.8861 -1.3675 3.0104
B Tc Cl
3 1 1
direct
0.0000 0.5000 0.0000
0.0000 0.0000 0.5000
0.5000 0.0000 0.0000
0.5000 0.5000 0.5000
0.0000 0.0000 0.0000

4.
Tc2BCl, optimized geometry, DFT PBE-GGA; energy relative to the elements, uncorrected = 724.3 meV/atom; energy = -6.5897 eV per atom; size of the total moment = 0.00 μB/cell
1.0
5.1761 0.0000 0.0000
0.0000 5.1761 0.0000
2.5880 2.5880 4.6837
B Tc Cl
2 4 2
direct
0.5000 0.5000 0.0000
0.2500 0.7500 0.5000
0.5841 0.1250 0.2500
0.1659 0.6250 0.2500
0.3750 0.4159 0.7500
0.8750 0.8341 0.7500
0.0000 0.0000 0.0000
0.7500 0.2500 0.5000

5.
Tc2BCl, optimized geometry, DFT PBE-GGA; energy relative to the elements, uncorrected = 777.3 meV/atom; energy = -6.5367 eV per atom; size of the total moment = 0.00 μB/cell
1.0
0.0000 2.8873 2.8873
2.8873 0.0000 2.8873
2.8873 2.8873 0.0000
B Tc Cl
1 2 1
direct
0.0000 0.0000 0.0000
0.2500 0.2500 0.2500
0.7500 0.7500 0.7500
0.5000 0.5000 0.5000

6.
TcB2Cl, optimized geometry, DFT PBE-GGA; energy relative to the elements, uncorrected = 999.1 meV/atom; energy = -5.3927 eV per atom; size of the total moment = 0.00 μB/cell
1.0
-4.7878 1.4255 1.2728
0.2296 -2.9794 4.2007
-0.5033 2.9279 5.2674
B Tc Cl
4 2 2
direct
0.6830 0.1250 0.2500
0.0670 0.6250 0.2500
0.3750 0.3170 0.7500
0.8750 0.9330 0.7500
0.0000 0.0000 0.0000
0.7500 0.2500 0.5000
0.5000 0.5000 0.0000
0.2500 0.7500 0.5000

7.
TiTcBCl2, optimized geometry, DFT PBE-GGA; energy relative to the elements, uncorrected = 880.8 meV/atom; energy = -4.8455 eV per atom; size of the total moment = 4.34 μB/cell
1.0
4.7242 0.0000 0.0000
0.0000 4.4480 0.0000
0.0000 0.0000 4.7242
B Cl Tc Ti
1 2 1 1
direct
0.0000 0.5000 0.0000
0.0000 0.0000 0.5000
0.5000 0.0000 0.0000
0.5000 0.5000 0.5000
0.0000 0.0000 0.0000

8.
ZnTcBCl2, optimized geometry, DFT PBE-GGA; energy relative to the elements, uncorrected = 1010.9 meV/atom; energy = -3.3913 eV per atom; size of the total moment = 3.15 μB/cell
1.0
-2.7238 -3.4309 -0.3239
2.4465 -2.2159 2.8982
-2.5683 1.7108 3.4761
Zn B Tc Cl
1 1 1 2
direct
0.5000 0.5000 0.5000
0.0000 0.0000 0.0000
0.0000 0.0000 0.5000
0.0000 0.5000 0.0000
0.5000 0.0000 0.0000